Here is an optimized crystal structure of Ce2BeVO6 from Alexandria. Energies are from PBE with a Hubbard U.

It has space group P2_1/c (No. 14), with a = 5.354 Å, b = 5.520 Å, c = 9.219 Å, α = 90.00°, β = 125.45° and γ = 90.00°. Symmetry generates all atoms from Ce at (0.240, 0.055, 0.251), Be at (0.500, 0.000, 0.000), V at (0.000, 0.000, 0.500), O at (0.161, 0.200, 0.956), O at (0.263, 0.710, 0.954) and O at (0.349, 0.020, 0.762).

The value obtained for the theoretical density is 6527 kg/m³. The total energy is -8.085 eV/atom. The density of states at the Fermi level is 15.9 states/eV per cell.